Run w
Material: Nb2VSe4
Method: DFT, PBE
State: optimized geometry Values from VASP.

Results
Fermi-level density of states in states/eV/f.u.: 9.09
Mass density in g/cm3: 5.75
Space-group type: No. 139

Structure (Quantum ESPRESSO input):
```
&SYSTEM
  ibrav = 0, nat = 7, ntyp = 3
/
ATOMIC_SPECIES
Se 78.96 Se.upf
V 50.94 V.upf
Nb 92.91 Nb.upf
ATOMIC_POSITIONS crystal
Se 0.5000 0.0000 0.0000
Se 0.0000 0.5000 0.0000
Se 0.8031 0.8031 0.3938
Se 0.1969 0.1969 0.6062
V 0.0000 0.0000 0.0000
Nb 0.6132 0.6132 0.7737
Nb 0.3868 0.3868 0.2263
CELL_PARAMETERS angstrom
4.9806 0.0000 0.0000
0.0000 4.9806 0.0000
2.4903 2.4903 6.4342
```



Run x
Material: Nb2VSe4
Method: DFT, PBE
State: optimized geometry Values from VASP.

Results
Fermi-level density of states in states/eV/f.u.: 3.08
Mass density in g/cm3: 6.60
Space-group type: No. 12

Structure (Quantum ESPRESSO input):
```
&SYSTEM
  ibrav = 0, nat = 7, ntyp = 3
/
ATOMIC_SPECIES
Nb 92.91 Nb.upf
V 50.94 V.upf
Se 78.96 Se.upf
ATOMIC_POSITIONS crystal
Nb 0.2569 0.2569 0.6782
Nb 0.7431 0.7431 0.3218
V 0.0000 0.0000 0.0000
Se 0.0996 0.0996 0.5581
Se 0.3642 0.3642 0.9744
Se 0.6358 0.6358 0.0256
Se 0.9004 0.9004 0.4419
CELL_PARAMETERS angstrom
7.1076 0.0066 -0.0106
6.2403 3.4025 -0.0106
2.6788 0.6842 5.7559
```



Energy above the most stable structure, in meV per atom: run w 908; run x 0



Run w
Material: NbW3Se
Method: DFT, PBE
State: optimized geometry Values from VASP.

Results
Fermi-level density of states in states/eV/f.u.: 7.42
Mass density in g/cm3: 10.78
Space-group type: No. 221

Structure (Quantum ESPRESSO input):
```
&SYSTEM
  ibrav = 0, nat = 5, ntyp = 3
/
ATOMIC_SPECIES
W 183.84 W.upf
Nb 92.91 Nb.upf
Se 78.96 Se.upf
ATOMIC_POSITIONS crystal
W 0.0000 0.0000 0.5000
W 0.5000 0.0000 0.0000
W 0.0000 0.5000 0.0000
Nb 0.0000 0.0000 0.0000
Se 0.5000 0.5000 0.5000
CELL_PARAMETERS angstrom
-1.7777 -0.4965 -4.4447
3.1647 -3.5192 -0.8727
-3.1601 -3.2451 1.6264
```



Run x
Material: NbW3Se
Method: DFT, PBE
State: optimized geometry Values from VASP.

Results
Fermi-level density of states in states/eV/f.u.: 9.02
Mass density in g/cm3: 12.55
Space-group type: No. 221

Structure (Quantum ESPRESSO input):
```
&SYSTEM
  ibrav = 0, nat = 5, ntyp = 3
/
ATOMIC_SPECIES
Nb 92.91 Nb.upf
W 183.84 W.upf
Se 78.96 Se.upf
ATOMIC_POSITIONS crystal
Nb 0.5000 0.5000 0.5000
W 0.0000 0.0000 0.5000
W 0.0000 0.5000 0.0000
W 0.5000 0.0000 0.0000
Se 0.0000 0.0000 0.0000
CELL_PARAMETERS angstrom
4.5744 0.0000 0.0000
0.0000 4.5744 0.0000
0.0000 0.0000 4.5744
```



Energy above the most stable structure, in meV per atom: run w 961; run x 0



Run w
Material: NbWSe3
Method: DFT, PBE
State: optimized geometry Values from VASP.

Results
Fermi-level density of states in states/eV/f.u.: 3.80
Mass density in g/cm3: 7.19
Space-group type: No. 221

Structure (Quantum ESPRESSO input):
```
&SYSTEM
  ibrav = 0, nat = 5, ntyp = 3
/
ATOMIC_SPECIES
Se 78.96 Se.upf
W 183.84 W.upf
Nb 92.91 Nb.upf
ATOMIC_POSITIONS crystal
Se 0.0000 0.5000 0.0000
Se 0.5000 0.0000 0.0000
Se 0.0000 0.0000 0.5000
W 0.0000 0.0000 0.0000
Nb 0.5000 0.5000 0.5000
CELL_PARAMETERS angstrom
-0.2069 -3.1177 -3.7920
4.1361 -2.1550 1.5462
-2.6442 -3.1269 2.7152
```



Run x
Material: NbWSe3
Method: DFT, PBE
State: optimized geometry Values from VASP.

Results
Fermi-level density of states in states/eV/f.u.: 4.68
Mass density in g/cm3: 7.45
Space-group type: No. 62

Structure (Quantum ESPRESSO input):
```
&SYSTEM
  ibrav = 0, nat = 20, ntyp = 3
/
ATOMIC_SPECIES
Se 78.96 Se.upf
W 183.84 W.upf
Nb 92.91 Nb.upf
ATOMIC_POSITIONS crystal
Se 0.6340 0.8700 0.2500
Se 0.3406 0.3420 0.0635
Se 0.3660 0.1300 0.7500
Se 0.8406 0.1580 0.9365
Se 0.6594 0.6580 0.9365
Se 0.1594 0.8420 0.0635
Se 0.8406 0.1580 0.5635
Se 0.8660 0.3700 0.2500
Se 0.3406 0.3420 0.4365
Se 0.6594 0.6580 0.5635
Se 0.1340 0.6300 0.7500
Se 0.1594 0.8420 0.4365
W 0.0336 0.2802 0.7500
W 0.9664 0.7198 0.2500
W 0.4664 0.7802 0.7500
W 0.5336 0.2198 0.2500
Nb 0.0000 0.5000 0.5000
Nb 0.0000 0.5000 0.0000
Nb 0.5000 0.0000 0.5000
Nb 0.5000 0.0000 0.0000
CELL_PARAMETERS angstrom
-1.8842 5.6409 -3.4145
-6.6018 -1.3900 1.3468
0.5864 5.1576 8.1971
```



Energy above the most stable structure, in meV per atom: run w 911; run x 0



Run w
Material: NbZnSe3
Method: DFT, PBE
State: optimized geometry Values from VASP.

Results
Fermi-level density of states in states/eV/f.u.: 4.24
Mass density in g/cm3: 5.81
Space-group type: No. 221

Structure (Quantum ESPRESSO input):
```
&SYSTEM
  ibrav = 0, nat = 5, ntyp = 3
/
ATOMIC_SPECIES
Zn 65.41 Zn.upf
Se 78.96 Se.upf
Nb 92.91 Nb.upf
ATOMIC_POSITIONS crystal
Zn 0.0000 0.0000 0.0000
Se 0.0000 0.5000 0.0000
Se 0.5000 0.0000 0.0000
Se 0.0000 0.0000 0.5000
Nb 0.5000 0.5000 0.5000
CELL_PARAMETERS angstrom
-4.0965 2.4983 0.5804
-2.3818 -4.1113 0.8859
0.9516 0.4648 4.7158
```



Run x
Material: NbZnSe3
Method: DFT, PBE
State: optimized geometry Values from VASP.

Results
Fermi-level density of states in states/eV/f.u.: 4.63
Mass density in g/cm3: 5.04
Space-group type: No. 221

Structure (Quantum ESPRESSO input):
```
&SYSTEM
  ibrav = 0, nat = 5, ntyp = 3
/
ATOMIC_SPECIES
Se 78.96 Se.upf
Zn 65.41 Zn.upf
Nb 92.91 Nb.upf
ATOMIC_POSITIONS crystal
Se 0.0000 0.5000 0.0000
Se 0.5000 0.0000 0.0000
Se 0.0000 0.0000 0.5000
Zn 0.5000 0.5000 0.5000
Nb 0.0000 0.0000 0.0000
CELL_PARAMETERS angstrom
-4.4550 -1.1903 -2.1055
0.9138 -4.9141 0.8445
-2.2394 0.3626 4.5333
```



Energy above the most stable structure, in meV per atom: run w 640; run x 0